The following is a DFT calculation (PBE-GGA) of a relaxed structure of CeAl3AgHg.

As for the density of states at the Fermi level: 1.445 states/eV/atom. The formation energy comes out at 71 meV per atom. The value obtained for the total energy is -0.2437 Ry/atom.

The structure belongs to space group Cmcm (No. 63); the cell edges are 5.9119, 16.9050 and 5.9651 Å and the angles 90.00°, 90.00° and 90.00°. The inequivalent atoms are Ce at (0.0000, 0.1734, 0.2500), Al at (0.0000, 0.2612, 0.7500), Al at (0.2364, 0.0000, 0.0000), Ag at (0.0000, 0.4114, 0.7500) and Hg at (0.0000, 0.1099, 0.7500).